1.
Density functional theory data (PBE) for crystalline Tb2Ni2Hg at its relaxed geometry.

For the calculated formation energy, the calculation gives -48 kJ/mol of atoms. Its density of states at the Fermi level is 3.46 states/eV/cell. As for the space group: No. 65.

```
5
Lattice="3.7347 0.0000 0.0000 0.0000 3.7651 -1.0704 0.0000 0.0345 7.2785" Properties=species:S:1:pos:R:3 pbc="T T T"
Ni 0.0000 3.0319 3.5076
Tb 1.8674 2.4044 1.3004
Tb 1.8674 1.3952 4.9077
Hg 0.0000 0.0000 0.0000
Ni 0.0000 0.7677 2.7005
```

2.
Density functional theory data (PBE) for crystalline Ho3Cd3Cu2 at its relaxed geometry.

For the calculated formation energy, the calculation gives -28 kJ/mol of atoms. Its density of states at the Fermi level is 6.67 states/eV/cell. As for the space group: No. 189.

```
8
Lattice="3.7279 0.0000 0.0000 0.0000 6.4826 -3.7427 0.0000 0.0000 7.4855" Properties=species:S:1:pos:R:3 pbc="T T T"
Ho 1.8639 0.0000 4.3486
Cu 0.0000 4.3218 0.0000
Cu 0.0000 2.1609 3.7428
Cd 0.0000 1.5073 -0.8702
Ho 1.8639 2.7166 1.5684
Cd 0.0000 4.9753 2.8725
Ho 1.8639 3.7660 -2.1743
Cd 0.0000 0.0000 1.7405
```

3.
Density functional theory data (PBE) for crystalline SmHoCCl at its relaxed geometry.

Its density of states at the Fermi level is 2.02 states/eV/cell. As for the space group: No. 160. The value obtained for the raw formation energy is -103.22 kJ/mol of atoms.

```
4
Lattice="3.6590 -0.0005 -0.0001 -1.8291 3.1691 0.0000 -1.8291 -1.0559 6.9772" Properties=species:S:1:pos:R:3 pbc="T T T"
Sm 0.3458 -0.2317 4.7344
Ho -1.4836 2.9373 0.3865
C -1.4834 0.8248 6.1556
Cl 2.1751 0.8249 2.4659
```

4.
Density functional theory data (PBE) for crystalline Li2CaSi at its relaxed geometry.

Its density of states at the Fermi level is 1.69 states/eV/cell. As for the space group: No. 12. The value obtained for the raw formation energy is 1.07 kJ/mol of atoms.

```
4
Lattice="-3.0416 1.6139 4.8344 5.7169 -1.5346 0.4353 1.6369 2.7800 1.2694" Properties=species:S:1:pos:R:3 pbc="T T T"
Si -0.7023 2.1969 3.0519
Li 1.3377 0.0396 2.6349
Ca 3.6769 0.6227 0.8523
Li 0.0000 0.0000 0.0000
```

5.
Density functional theory data (PBE) for crystalline PmZn2Sn2 at its relaxed geometry.

For the calculated formation energy, the calculation gives -29 kJ/mol of atoms. Its density of states at the Fermi level is 1.27 states/eV/cell. As for the space group: No. 166.

```
5
Lattice="-2.1386 0.5032 4.1135 -2.0047 -3.6772 2.0510 4.4945 -2.4616 5.2812" Properties=species:S:1:pos:R:3 pbc="T T T"
Zn 0.3702 -4.2522 8.6430
Zn -0.0191 -1.3834 2.8028
Sn -1.0891 -2.5157 5.0284
Sn 1.4403 -3.1199 6.4173
Pm 0.0000 0.0000 0.0000
```

6.
Density functional theory data (PBE) for crystalline ScV3Cd at its relaxed geometry.

For the calculated formation energy, the calculation gives 149 kJ/mol of atoms. Its density of states at the Fermi level is 10.79 states/eV/cell. As for the space group: No. 221.

```
5
Lattice="-2.7448 -3.8868 -1.4045 1.2630 -2.3943 4.1577 -3.9351 1.9427 2.3141" Properties=species:S:1:pos:R:3 pbc="T T T"
Sc -2.7084 -2.1692 2.5337
V -1.9675 0.9714 1.1571
V 0.6315 -1.1971 2.0788
V -1.3724 -1.9434 -0.7022
Cd 0.0000 0.0000 0.0000
```

7.
Density functional theory data (PBE) for crystalline TiNbFe at its relaxed geometry.

For the calculated formation energy, the calculation gives -1 kJ/mol of atoms. Its density of states at the Fermi level is 2.78 states/eV/cell. As for the space group: No. 156.

```
3
Lattice="2.8714 0.0000 0.0000 0.0000 4.2396 0.0000 0.0000 -2.1198 3.6716" Properties=species:S:1:pos:R:3 pbc="T T T"
Ti 1.8540 2.1198 1.2239
Fe 0.9488 0.0000 2.4478
Nb 0.0686 0.0000 0.0000
```

8.
Density functional theory data (PBE) for crystalline CsAcAs2 at its relaxed geometry.

For the calculated formation energy, the calculation gives -35 kJ/mol of atoms. Its density of states at the Fermi level is 6.21 states/eV/cell. As for the space group: No. 225.

```
4
Lattice="5.6692 0.0000 0.0000 2.8346 4.9097 0.0000 2.8346 1.6366 4.6289" Properties=species:S:1:pos:R:3 pbc="T T T"
Ac 0.0000 0.0000 0.0000
Cs 5.6692 3.2731 2.3144
As 2.8346 1.6366 1.1572
As 8.5038 4.9097 3.4717
```

9.
Density functional theory data (PBE) for crystalline CaMgN3 at its relaxed geometry.

Its density of states at the Fermi level is 1.95 states/eV/cell. As for the space group: No. 221. The value obtained for the raw formation energy is 158.89 kJ/mol of atoms.

```
5
Lattice="4.3875 0.0000 0.0000 0.0000 4.3875 0.0000 0.0000 0.0000 4.3875" Properties=species:S:1:pos:R:3 pbc="T T T"
Ca 0.0000 0.0000 0.0000
N 2.1938 0.0000 0.0000
N 0.0000 0.0000 2.1938
N 0.0000 2.1938 0.0000
Mg 2.1938 2.1938 2.1938
```

10.
Density functional theory data (PBE) for crystalline ScTa2SnF at its relaxed geometry.

Its density of states at the Fermi level is 6.67 states/eV/cell. As for the space group: No. 123. The value obtained for the raw formation energy is 81.80 kJ/mol of atoms.

```
5
Lattice="-2.0284 -4.7728 1.3473 0.9355 -1.4650 -3.7814 4.8109 -1.5402 1.7870" Properties=species:S:1:pos:R:3 pbc="T T T"
F 0.4678 -0.7325 -1.8907
Ta 2.4054 -0.7701 0.8935
Sn 0.0000 0.0000 0.0000
Sc 1.8590 -3.8890 -0.3236
Ta -1.0142 -2.3864 0.6736
```

11.
Density functional theory data (PBE) for crystalline Cs3TcC at its relaxed geometry.

For the calculated formation energy, the calculation gives 198 kJ/mol of atoms. Its density of states at the Fermi level is 2.60 states/eV/cell. As for the space group: No. 221.

```
5
Lattice="5.8701 0.0000 0.0000 0.0000 5.8701 0.0000 0.0000 0.0000 5.8701" Properties=species:S:1:pos:R:3 pbc="T T T"
Tc 0.0000 0.0000 0.0000
C 2.9350 2.9350 2.9350
Cs 2.9350 0.0000 0.0000
Cs 0.0000 2.9350 0.0000
Cs 0.0000 0.0000 2.9350
```

Number 1: spin magnetization 0.0 μB per formula unit. Number 2: spin magnetization 0.0 μB per formula unit. Number 3: spin magnetization 0.0 μB per formula unit. Number 4: spin magnetization 0.0 μB per formula unit. Number 5: spin magnetization 0.0 μB per formula unit. Number 6: spin magnetization 9.7 μB per formula unit. Number 7: spin magnetization 0.0 μB per formula unit. Number 8: spin magnetization 0.0 μB per formula unit. Number 9: spin magnetization 5.0 μB per formula unit. Number 10: spin magnetization 1.6 μB per formula unit. Number 11: spin magnetization 3.0 μB per formula unit.